[1]
VASP calculation (PBE-GGA) on crystalline RbMgW3 at its relaxed geometry. Values from VASP.

Cell and atoms, written as Quantum ESPRESSO input:
```
&SYSTEM
  ibrav = 0, nat = 5, ntyp = 3
/
ATOMIC_SPECIES
Mg 24.30 Mg.upf
Rb 85.47 Rb.upf
W 183.84 W.upf
CELL_PARAMETERS angstrom
-3.881 -0.818 2.885
2.285 -3.862 1.979
1.941 2.910 3.437
ATOMIC_POSITIONS angstrom
Mg 0.000 0.000 0.000
Rb 0.173 -0.885 4.151
W 1.143 -1.931 0.990
W 0.971 1.455 1.719
W -1.941 -0.409 1.442
```

Computed properties:
ΔE_f in eV/atom: 3.056
Space group: Pm-3m (221)
Relative energy among the computed polymorphs in eV per atom: 0.000
Total moment in μB per formula unit: 3.59

[2]
VASP calculation (PBE-GGA) on crystalline La3Y6TmTh2 at its relaxed geometry. Values from VASP.

Cell and atoms, written as Quantum ESPRESSO input:
```
&SYSTEM
  ibrav = 0, nat = 12, ntyp = 4
/
ATOMIC_SPECIES
La 138.91 La.upf
Y 88.91 Y.upf
Tm 168.93 Tm.upf
Th 232.04 Th.upf
CELL_PARAMETERS angstrom
6.250 0.000 0.005
-3.123 5.413 0.005
-1.053 -1.823 11.718
ATOMIC_POSITIONS angstrom
La -2.094 3.604 5.864
La 4.168 -0.013 5.864
La 1.037 1.795 5.864
Y 3.127 1.774 8.881
Y 2.071 3.586 2.855
Y -1.054 1.816 2.848
Y -0.026 3.595 8.881
Y 0.002 0.004 8.874
Y 2.100 -0.005 2.848
Tm 0.000 0.000 0.000
Th 0.002 3.608 0.005
Th 3.124 1.805 0.005
```

Computed properties:
ΔE_f in eV/atom: 0.017
Space group: C2/m (12)
Total moment in μB per formula unit: 0.00

- The highest ΔE_f belongs to which entry?
  RbMgW3

- The lowest total moment belongs to which entry?
  La3Y6TmTh2

- Among the records above, which one has the lowest total moment?
  La3Y6TmTh2